1.
TbCePrHo3 PBE optimized geometry; space group = No. 63; E_form = 0.152 eV/atom
1.0
-3.605 -4.638 0.204
4.854 0.130 4.051
-6.723 5.573 7.876
Tb Ce Pr Ho
2 2 2 6
Cartesian
-4.856 0.434 8.716
-0.618 0.631 3.416
-6.835 1.854 6.021
1.361 -0.789 6.110
-3.361 2.786 3.938
0.000 0.000 0.000
-4.116 -0.285 5.444
-1.358 1.350 6.687
-4.702 4.122 10.605
-0.772 -3.057 1.526
-3.991 3.425 7.338
-1.483 -2.360 4.793

=====

2.
PmC2N3 PBE optimized geometry; space group = No. 35; raw formation energy = 1.55 kcal/mol of atoms
1.0
-2.565 2.786 -1.414
0.244 -2.377 -5.126
-2.801 -0.860 3.386
Pm C N
1 2 3
Cartesian
-2.484 -0.309 -1.535
-0.673 -1.625 -3.959
-2.762 -0.659 1.734
-2.450 1.880 -2.548
-4.855 0.041 -1.810
-2.264 0.508 1.217

=====

3.
Ho5Mg4Ga PBE optimized geometry; space group = No. 123; E_form = -0.177 eV/atom
1.0
-2.877 2.324 0.016
-0.764 -0.970 3.486
11.245 13.878 6.327
Ho Mg Ga
5 4 1
Cartesian
-0.814 1.919 2.318
1.499 4.774 3.619
3.802 7.616 4.915
6.105 10.458 6.211
8.418 13.313 7.512
2.181 2.692 1.227
4.469 5.516 2.515
6.775 8.362 3.812
9.064 11.186 5.100
0.000 0.000 0.000

=====

4.
BaTcBr2F6 PBE optimized geometry; space group = No. 225; raw formation energy = -47.18 kcal/mol of atoms
1.0
-6.211 -0.101 2.216
-0.599 -6.268 -1.964
-1.896 -4.635 4.293
Ba Tc Br F
1 1 2 6
Cartesian
0.000 0.000 0.000
-3.405 -3.184 0.126
-2.950 -7.043 1.228
-5.755 -3.961 3.317
-4.144 -9.090 3.558
-6.703 -9.131 4.471
-2.783 -3.782 1.843
-4.561 -1.914 0.987
-2.002 -1.873 0.074
-5.922 -7.222 2.703

=====

5.
GdPaAs PBE optimized geometry; space group = No. 107; E_form = -0.461 eV/atom; relative energy among the computed polymorphs = 0.026 eV/atom
1.0
-2.355 0.440 2.732
-2.019 -2.728 -1.300
5.197 -2.610 2.484
Gd As Pa
1 1 1
Cartesian
1.558 -1.943 1.656
-1.512 -1.985 1.434
0.698 -4.739 3.782

=====

6.
NdPa2As4 PBE optimized geometry; space group = No. 63; E_form = -0.964 eV/atom
1.0
4.121 0.000 0.000
-2.060 6.807 0.000
0.000 0.000 13.371
Nd Pa As
2 4 8
Cartesian
2.060 1.540 10.028
0.000 5.267 3.343
0.000 1.787 5.836
2.060 5.020 12.522
0.000 1.787 0.850
2.060 5.020 7.535
2.060 3.618 1.655
2.060 3.618 5.030
0.000 3.189 11.716
0.000 3.189 8.341
2.060 6.194 10.028
0.000 0.613 3.343
2.060 0.000 0.000
2.060 0.000 6.686

=====

7.
KHfAu2 PBE optimized geometry; space group = No. 225; E_form = 0.136 eV/atom; relative energy among the computed polymorphs = 0.450 eV/atom
1.0
0.000 3.546 3.546
3.546 0.000 3.546
3.546 3.546 0.000
Hf K Au
1 1 2
Cartesian
3.546 3.546 3.546
0.000 0.000 0.000
1.773 1.773 1.773
5.318 5.318 5.318

=====

8.
LiScCr2 PBE optimized geometry; space group = No. 166; E_form = 0.705 eV/atom; relative energy among the computed polymorphs = 0.439 eV/atom
1.0
9.571 -0.027 -0.016
9.187 2.686 -0.016
9.187 1.302 2.349
Cr Li Sc
2 1 1
Cartesian
0.000 0.000 0.000
13.972 1.981 1.159
6.986 0.990 0.579
20.959 2.971 1.738

=====

Computed N(E_F) (states/eV/f.u.) in order:
15.2, 2.1, 11.2, 12.4, 5.5, 3.1, 4.2, 4.9
Computed total magnetization (μB per cell) in order:
2.6, 0.0, 0.0, 1.0, 7.8, 0.0, 0.0, 2.4
Computed E (eV per cell) in order:
-56.33, -47.77, -34.07, -47.32, -29.61, -98.22, -17.06, -24.67